# Pm2HoErTe6, optimized geometry, DFT PBE-GGA
# E in eV per atom: -5.11
# Calculated density in g/cm3: 6.23
data_Pm2HoErTe6
_symmetry_space_group_name_H-M 'P 1'
_symmetry_Int_Tables_number 1
_cell_length_a 7.782
_cell_length_b 7.782
_cell_length_c 8.359
_cell_angle_alpha 62.27
_cell_angle_beta 62.27
_cell_angle_gamma 60.00
loop_
_symmetry_equiv_pos_as_xyz
'x,y,z'
loop_
_atom_site_label
_atom_site_fract_x
_atom_site_fract_y
_atom_site_fract_z
Pm1 0.013 0.013 0.962
Te1 0.217 0.931 0.257
Te2 0.596 0.217 0.257
Ho1 0.324 0.324 0.028
Te3 0.718 0.095 0.755
Er1 0.824 0.824 0.528
Te4 0.095 0.431 0.755
Te5 0.431 0.718 0.755
Pm2 0.513 0.513 0.462
Te6 0.931 0.596 0.257